A relaxed AcVCuO5 crystal. Source: the Alexandria database, functional PBE+U.

a b c (Å): 6.2844 6.2844 9.1436
angles (deg): 111.66 111.66 87.85
Closest atoms and distances in Å follow each position.
Sites, in units of the cell vectors:
1 Ac 0.0000 0.0000 0.5000  6 O 2.48-2.54
2 O 0.7439 0.2755 0.4075  1 V 1.71
3 O 0.3389 0.3128 0.6689  1 V 1.79, 1 Cu 1.96
4 O 0.2561 0.7245 0.5925  1 V 1.71
5 Cu 0.6761 0.3239 0.7500  3 O 1.78-1.96
6 O 0.6611 0.6872 0.3311  1 V 1.79, 1 Cu 1.96
7 Ac 0.0000 0.0000 0.0000  6 O 2.48-2.54
8 O 0.6872 0.6611 0.8311  1 V 1.79, 1 Cu 1.96
9 O 0.8805 0.1195 0.7500  1 Cu 1.78
10 O 0.1195 0.8805 0.2500  1 Cu 1.78
11 O 0.7245 0.2561 0.0925  1 V 1.71
12 O 0.3128 0.3389 0.1689  1 V 1.79, 1 Cu 1.96
13 V 0.3784 0.6216 0.7500  4 O 1.71-1.79
14 V 0.6216 0.3784 0.2500  4 O 1.71-1.79
15 O 0.2755 0.7439 0.9075  1 V 1.71
16 Cu 0.3239 0.6761 0.2500  3 O 1.78-1.96

Results
The total energy is -7.08 eV/atom. The crystal system is monoclinic. The calculation puts the magnetic moment at 2.0 Bohr magnetons per cell. The volume comes out at 19.4 Å³ per atom.